Entry from the Alexandria database: a relaxed structure of V6MoW2 (PBE).

Output
M_tot = 0.000 μB/f.u.
relative energy among the computed polymorphs = 0.000 eV per atom
crystal system = monoclinic
V = 130.3 Å³ per cell
formation energy from the elements = 0.055 eV per atom
space-group type = No. 12

a b c (Å): 7.043 7.043 4.427
angles (deg): 97.81 97.81 139.78
Fractional positions:
1 V 0.004 0.325 0.335
2 V 0.167 0.167 0.832
3 V 0.325 0.004 0.335
4 V 0.675 0.996 0.665
5 V 0.833 0.833 0.168
6 V 0.996 0.675 0.665
7 Mo 0.500 0.500 0.500
8 W 0.332 0.668 0.000
9 W 0.668 0.332 0.000

=====

Entry from the Alexandria database: a relaxed structure of VMoW2 (PBE).

Output
M_tot = 0.000 μB/f.u.
relative energy among the computed polymorphs = 0.539 eV per atom
crystal system = orthorhombic
V = 64.6 Å³ per cell
formation energy from the elements = 0.442 eV per atom
space-group type = No. 38

a b c (Å): 3.065 7.071 7.071
angles (deg): 24.92 90.00 90.00
Fractional positions:
1 V 0.000 0.000 0.000
2 Mo 0.000 0.766 0.766
3 W 0.500 0.386 0.386
4 W 0.500 0.614 0.614

=====

Entry from the Alexandria database: a relaxed structure of V3Mo4W (PBE).

Output
M_tot = 0.000 μB/f.u.
relative energy among the computed polymorphs = 0.250 eV per atom
crystal system = orthorhombic
V = 244.3 Å³ per cell
formation energy from the elements = 0.120 eV per atom
space-group type = No. 31

a b c (Å): 8.828 5.228 5.294
angles (deg): 90.00 90.00 90.00
Fractional positions:
1 V 0.000 0.223 0.000
2 V 0.248 0.415 0.754
3 V 0.252 0.585 0.254
4 V 0.500 0.777 0.500
5 V 0.748 0.585 0.254
6 V 0.752 0.415 0.754
7 Mo 0.000 0.275 0.503
8 Mo 0.000 0.767 0.498
9 Mo 0.249 0.087 0.255
10 Mo 0.251 0.913 0.755
11 Mo 0.500 0.233 0.998
12 Mo 0.500 0.725 0.003
13 Mo 0.749 0.913 0.755
14 Mo 0.751 0.087 0.255
15 W 0.000 0.717 0.999
16 W 0.500 0.283 0.499